DySiSe3 | PBE | relaxed

The size of the total moment comes out at 0.00 Bohr magnetons per cell. The uncorrected formation energy comes out at -0.9489 eV per atom. The calculation puts the total energy at -5.045 eV/atom. For the density of states at the Fermi level, the calculation gives 0.51 states/eV/f.u. Its energy above the most stable polymorph in this dataset is 0.163 eV/atom.

Structure (CIF):
```
data_DySiSe3
_cell_length_a 7.8234
_cell_length_b 6.5832
_cell_length_c 9.1290
_cell_angle_alpha 90.00
_cell_angle_beta 90.00
_cell_angle_gamma 90.00
_space_group_name_H-M_alt 'P n a 21'
_space_group_IT_number 33
loop_
_space_group_symop_operation_xyz
'x,y,z'
'-x,-y,z+1/2'
'-x+1/2,y+1/2,z+1/2'
'x+1/2,-y+1/2,z'
loop_
_atom_site_label
_atom_site_fract_x
_atom_site_fract_y
_atom_site_fract_z
_atom_site_occupancy
Dy1 0.1146 0.0313 0.0000 1
Si1 0.0657 0.5229 0.2309 1
Se1 0.0352 0.3805 0.4866 1
Se2 0.1705 0.8399 0.3060 1
Se3 0.1791 0.8360 0.6897 1
```

Dy2SiSe4 | PBE | relaxed

The size of the total moment comes out at 0.00 Bohr magnetons per cell. The uncorrected formation energy comes out at -0.9969 eV per atom. The calculation puts the total energy at -5.078 eV/atom.

Structure (CIF):
```
data_Dy2SiSe4
_cell_length_a 6.3105
_cell_length_b 6.3105
_cell_length_c 12.1310
_cell_angle_alpha 90.00
_cell_angle_beta 90.00
_cell_angle_gamma 90.00
_space_group_name_H-M_alt 'I -4 2 m'
_space_group_IT_number 121
_space_group_name_Hall 'I -4 2'
loop_
_atom_site_label
_atom_site_fract_x
_atom_site_fract_y
_atom_site_fract_z
_atom_site_occupancy
Dy1 0.0000 0.5000 0.2500 1
Si1 0.0000 0.0000 0.0000 1
Se1 0.2451 0.2451 0.1178 1
```

Dy3SiSe2 | PBE | relaxed

The size of the total moment comes out at 0.00 Bohr magnetons per cell. The uncorrected formation energy comes out at -1.5186 eV per atom. The calculation puts the total energy at -5.885 eV/atom. For the density of states at the Fermi level, the calculation gives 1.88 states/eV/f.u.

Structure (CIF):
```
data_Dy3SiSe2
_cell_length_a 4.1112
_cell_length_b 5.7823
_cell_length_c 12.3389
_cell_angle_alpha 90.00
_cell_angle_beta 90.00
_cell_angle_gamma 90.00
_space_group_name_H-M_alt 'I m m m'
_space_group_IT_number 71
_space_group_name_Hall '-I 2 2'
loop_
_atom_site_label
_atom_site_fract_x
_atom_site_fract_y
_atom_site_fract_z
_atom_site_occupancy
Dy1 0.0000 0.0000 0.0000 1
Dy2 0.0000 0.0000 0.3426 1
Si1 0.0000 0.5000 0.0000 1
Se1 0.0000 0.5000 0.3309 1
```

Dy8SiSe6 | PBE | relaxed

The size of the total moment comes out at 0.00 Bohr magnetons per cell. The uncorrected formation energy comes out at -1.2648 eV per atom. The calculation puts the total energy at -5.475 eV/atom. For the density of states at the Fermi level, the calculation gives 8.42 states/eV/f.u.

Structure (CIF):
```
data_Dy8SiSe6
_cell_length_a 10.3840
_cell_length_b 10.3840
_cell_length_c 4.0495
_cell_angle_alpha 90.00
_cell_angle_beta 90.00
_cell_angle_gamma 120.00
_space_group_name_H-M_alt 'P -3'
_space_group_IT_number 147
loop_
_space_group_symop_operation_xyz
'x,y,z'
'-x,-y,-z'
'-y,x-y,z'
'y,-x+y,-z'
'-x+y,-x,z'
'x-y,x,-z'
loop_
_atom_site_label
_atom_site_fract_x
_atom_site_fract_y
_atom_site_fract_z
_atom_site_occupancy
Dy1 0.0302 0.3017 0.2443 1
Dy2 0.3333 0.6667 0.7523 1
Si1 0.0000 0.0000 0.0000 1
Se1 0.1288 0.6499 0.2501 1
```

SmDySiSe | PBE | relaxed

The size of the total moment comes out at 0.00 Bohr magnetons per cell. The uncorrected formation energy comes out at -1.3006 eV per atom. The calculation puts the total energy at -5.858 eV/atom. For the density of states at the Fermi level, the calculation gives 1.37 states/eV/f.u.

Structure (CIF):
```
data_SmDySiSe
_cell_length_a 4.1467
_cell_length_b 4.1467
_cell_length_c 20.6163
_cell_angle_alpha 90.00
_cell_angle_beta 90.00
_cell_angle_gamma 120.00
_space_group_name_H-M_alt 'R 3 m'
_space_group_IT_number 160
_space_group_name_Hall 'R 3 -2"'
loop_
_atom_site_label
_atom_site_fract_x
_atom_site_fract_y
_atom_site_fract_z
_atom_site_occupancy
Sm1 0.0000 0.0000 0.0000 1
Dy1 0.0000 0.0000 0.5083 1
Si1 0.0000 0.0000 0.2525 1
Se1 0.0000 0.0000 0.7566 1
```

Dy8SiTe3Se3 | PBE | relaxed

The size of the total moment comes out at 0.00 Bohr magnetons per cell. The uncorrected formation energy comes out at -1.3310 eV per atom. The calculation puts the total energy at -5.472 eV/atom. For the density of states at the Fermi level, the calculation gives 6.23 states/eV/f.u.

Structure (CIF):
```
data_Dy8SiTe3Se3
_cell_length_a 8.2986
_cell_length_b 8.2986
_cell_length_c 21.0113
_cell_angle_alpha 90.00
_cell_angle_beta 90.00
_cell_angle_gamma 120.00
_space_group_name_H-M_alt 'R -3 m'
_space_group_IT_number 166
_space_group_name_Hall '-R 3 2"'
loop_
_atom_site_label
_atom_site_fract_x
_atom_site_fract_y
_atom_site_fract_z
_atom_site_occupancy
Dy1 0.0000 0.0000 0.2388 1
Dy2 0.0066 0.5033 0.2401 1
Si1 0.0000 0.0000 0.5000 1
Te1 0.0000 0.5000 0.0000 1
Se1 0.0000 0.5000 0.5000 1
```